1.
# SrNi2MoAu, relaxed, DFT PBE
data_SrNi2MoAu
_chemical_formula_sum 'Sr1 Ni2 Mo1 Au1'
_cell_length_a 4.564
_cell_length_b 4.564
_cell_length_c 5.281
_cell_angle_alpha 90.00
_cell_angle_beta 90.00
_cell_angle_gamma 90.00
_space_group_name_H-M_alt 'P 4/m m m'
_space_group_IT_number 123
_space_group_name_Hall '-P 4 2'
loop_
_atom_site_label
_atom_site_type_symbol
_atom_site_fract_x
_atom_site_fract_y
_atom_site_fract_z
Sr1 Sr 0.000 0.000 0.000
Ni1 Ni 0.000 0.500 0.000
Mo1 Mo 0.500 0.500 0.500
Au1 Au 0.000 0.000 0.500
# - VASP energy (eV/atom) = -3.374
# - formation energy from the elements (eV per formula unit) = 10.5
# - total magnetic moment (Bohr magnetons per cell) = 0.04

---

2.
# Ni2TeMoAu, relaxed, DFT PBE
data_Ni2TeMoAu
_chemical_formula_sum 'Ni2 Te1 Mo1 Au1'
_cell_length_a 4.578
_cell_length_b 4.578
_cell_length_c 5.103
_cell_angle_alpha 90.00
_cell_angle_beta 90.00
_cell_angle_gamma 90.00
_space_group_name_H-M_alt 'P 4/m m m'
_space_group_IT_number 123
_space_group_name_Hall '-P 4 2'
loop_
_atom_site_label
_atom_site_type_symbol
_atom_site_fract_x
_atom_site_fract_y
_atom_site_fract_z
Ni1 Ni 0.000 0.500 0.000
Te1 Te 0.000 0.000 0.500
Mo1 Mo 0.000 0.000 0.000
Au1 Au 0.500 0.500 0.500
# - VASP energy (eV/atom) = -4.661
# - formation energy from raw total energies (eV per atom) = 1.102
# - total magnetic moment (Bohr magnetons per cell) = 0.00